A plane-wave DFT calculation with PBE+U was carried out for ZrV2OF after structural relaxation.

Values from the calculation:
* total moment: 5.81 Bohr magnetons per cell
* final energy: -0.1958 Ha/atom
* SG: P4/mmm
* D(E_F): 2.0 states/eV/cell

Structure (POSCAR):
```
ZrV2OF
1.0
5.240 0.000 0.000
0.000 5.240 0.000
0.000 0.000 4.065
Zr V O F
1 2 1 1
Direct
0.000 0.000 0.000
0.000 0.500 0.000
0.500 0.000 0.000
0.500 0.500 0.500
0.000 0.000 0.500
```